P | Entry from the Alexandria database: a relaxed structure of Ir2Pt2Rh (GGA-PBE).

## Properties
Mass density ... 18.0 g cm⁻³
Spin magnetization ... 0.0 μB per formula unit
DOS(E_F) ... 1.737 states/eV per atom

Cell: 6.706 6.706 3.593 Å, 90.00 90.00 90.00°
Space group P4/mbm (No. 127)
Unique sites:
1 Ir 0.131 0.369 0.000 (multiplicity 4)
2 Pt 0.167 0.667 0.500 (multiplicity 4)
3 Rh 0.000 0.000 0.000 (multiplicity 2)

=====

Q | Entry from the Alexandria database: a relaxed structure of Ir2Pt2Rh (GGA-PBE).

## Properties
Mass density ... 18.1 g cm⁻³
Spin magnetization ... 2.0 μB per formula unit
DOS(E_F) ... 1.637 states/eV per atom

Cell: 7.628 7.628 2.764 Å, 90.00 90.00 90.00°
Space group P4/mbm (No. 127)
Unique sites:
1 Ir 0.173 0.327 0.000 (multiplicity 4)
2 Pt 0.126 0.626 0.500 (multiplicity 4)
3 Rh 0.000 0.000 0.500 (multiplicity 2)

=====

If we sort the structures by their calculated energies, the order from most to least stable is P, Q.

=====

P | Entry from the Alexandria database: a relaxed structure of IrPt4Rh3 (GGA-PBE).

## Properties
Mass density ... 17.8 g cm⁻³
Spin magnetization ... 0.0 μB per formula unit
DOS(E_F) ... 1.632 states/eV per atom

Cell: 3.917 3.917 15.589 Å, 90.00 90.00 90.00°
Space group I4/mmm (No. 139)
Unique sites:
1 Ir 0.000 0.000 0.000 (multiplicity 2)
2 Pt 0.000 0.500 0.125 (multiplicity 8)
3 Rh 0.000 0.000 0.250 (multiplicity 4)
4 Rh 0.000 0.000 0.500 (multiplicity 2)

=====

Q | Entry from the Alexandria database: a relaxed structure of IrPt4Rh3 (GGA-PBE).

## Properties
Mass density ... 17.8 g cm⁻³
Spin magnetization ... 0.0 μB per formula unit
DOS(E_F) ... 1.734 states/eV per atom

Cell: 18.037 2.775 4.802 Å, 90.00 95.09 90.00°
Space group C2/m (No. 12)
Unique sites:
1 Ir 0.000 0.000 0.000 (multiplicity 2)
2 Pt 0.125 0.000 0.374 (multiplicity 4)
3 Pt 0.125 0.500 0.875 (multiplicity 4)
4 Rh 0.000 0.500 0.500 (multiplicity 2)
5 Rh 0.249 0.000 0.750 (multiplicity 4)

=====

If we sort the structures by their calculated energies, the order from most to least stable is P, Q.

=====

P | Entry from the Alexandria database: a relaxed structure of Ir2PtRh8 (GGA-PBE).

## Properties
Mass density ... 13.8 g cm⁻³
Spin magnetization ... 0.0 μB per formula unit
DOS(E_F) ... 1.490 states/eV per atom

Cell: 7.079 12.042 4.736 Å, 90.00 123.54 90.00°
Space group C2/m (No. 12)
Unique sites:
1 Ir 0.000 0.192 0.000 (multiplicity 4)
2 Pt 0.000 0.500 0.500 (multiplicity 2)
3 Rh 0.000 0.281 0.500 (multiplicity 4)
4 Rh 0.079 0.000 0.313 (multiplicity 4)
5 Rh 0.211 0.385 0.123 (multiplicity 8)

=====

Q | Entry from the Alexandria database: a relaxed structure of Ir2PtRh8 (GGA-PBE).

## Properties
Mass density ... 14.7 g cm⁻³
Spin magnetization ... 0.0 μB per formula unit
DOS(E_F) ... 1.197 states/eV per atom

Cell: 13.914 3.855 6.102 Å, 90.00 105.18 90.00°
Space group C2/m (No. 12)
Unique sites:
1 Ir 0.228 0.000 0.136 (multiplicity 4)
2 Pt 0.000 0.500 0.500 (multiplicity 2)
3 Rh 0.047 0.000 0.226 (multiplicity 4)
4 Rh 0.092 0.500 0.959 (multiplicity 4)
5 Rh 0.138 0.000 0.688 (multiplicity 4)
6 Rh 0.183 0.500 0.410 (multiplicity 4)

=====

If we sort the structures by their calculated energies, the order from most to least stable is Q, P.

=====

P | Entry from the Alexandria database: a relaxed structure of Ir5PtRh4 (GGA-PBE).

## Properties
Mass density ... 18.0 g cm⁻³
Spin magnetization ... 0.0 μB per formula unit
DOS(E_F) ... 1.090 states/eV per atom

Cell: 14.235 2.736 7.734 Å, 90.00 105.77 90.00°
Space group C2/m (No. 12)
Unique sites:
1 Ir 0.000 0.000 0.000 (multiplicity 2)
2 Ir 0.102 0.500 0.296 (multiplicity 4)
3 Ir 0.200 0.000 0.099 (multiplicity 4)
4 Pt 0.000 0.000 0.500 (multiplicity 2)
5 Rh 0.101 0.500 0.805 (multiplicity 4)
6 Rh 0.201 0.000 0.601 (multiplicity 4)

=====

Q | Entry from the Alexandria database: a relaxed structure of Ir5PtRh4 (GGA-PBE).

## Properties
Mass density ... 18.0 g cm⁻³
Spin magnetization ... 0.0 μB per formula unit
DOS(E_F) ... 1.255 states/eV per atom

Cell: 2.738 2.738 19.322 Å, 90.00 90.00 90.00°
Space group P4/mmm (No. 123)
Unique sites:
1 Ir 0.000 0.000 0.000 (multiplicity 1)
2 Ir 0.000 0.000 0.199 (multiplicity 2)
3 Ir 0.000 0.000 0.396 (multiplicity 2)
4 Pt 0.500 0.500 0.500 (multiplicity 1)
5 Rh 0.500 0.500 0.099 (multiplicity 2)
6 Rh 0.500 0.500 0.298 (multiplicity 2)

=====

If we sort the structures by their calculated energies, the order from most to least stable is P, Q.

=====

P | Entry from the Alexandria database: a relaxed structure of IrRu3Pt (GGA-PBE).

## Properties
Mass density ... 14.0 g cm⁻³
Spin magnetization ... 0.0 μB per formula unit
DOS(E_F) ... 1.291 states/eV per atom

Cell: 5.4171 5.4171 19.3387 Å, 90.00 90.00 120.00°
Space group R-3m (No. 166, hexagonal axes)
Unique sites:
1 Ir 0.0000 0.0000 0.1132 (multiplicity 6)
2 Ru 0.0160 0.5080 0.1127 (multiplicity 18)
3 Pt 0.0000 0.0000 0.3284 (multiplicity 6)

=====

Q | Entry from the Alexandria database: a relaxed structure of IrRu3Pt (GGA-PBE).

## Properties
Mass density ... 11.5 g cm⁻³
Spin magnetization ... 2.5 μB per formula unit
DOS(E_F) ... 1.344 states/eV per atom

Cell: 4.642 4.642 4.642 Å, 90.00 90.00 90.00°
Space group Pm-3m (No. 221)
Unique sites:
1 Ir 0.000 0.000 0.000 (multiplicity 1)
2 Ru 0.000 0.000 0.500 (multiplicity 3)
3 Pt 0.500 0.500 0.500 (multiplicity 1)

=====

R | Entry from the Alexandria database: a relaxed structure of IrRu3Pt (GGA-PBE).

## Properties
Mass density ... 15.6 g cm⁻³
Spin magnetization ... 0.0 μB per formula unit
DOS(E_F) ... 0.980 states/eV per atom

Cell: 4.060 13.363 5.419 Å, 90.00 90.00 90.00°
Space group Cmc2_1 (No. 36)
Unique sites:
1 Ir 0.000 0.192 0.000 (multiplicity 4)
2 Ru 0.000 0.005 0.501 (multiplicity 4)
3 Ru 0.000 0.199 0.481 (multiplicity 4)
4 Ru 0.000 0.384 0.232 (multiplicity 4)
5 Pt 0.000 0.408 0.743 (multiplicity 4)

=====

If we sort the structures by their calculated energies, the order from most to least stable is R, P, Q.

=====

P | Entry from the Alexandria database: a relaxed structure of Ir4RuPt (GGA-PBE).

## Properties
Mass density ... 18.6 g cm⁻³
Spin magnetization ... 1.9 μB per formula unit
DOS(E_F) ... 1.843 states/eV per atom

Cell: 7.251 7.251 7.251 Å, 90.00 90.00 90.00°
Space group F-43m (No. 216)
Unique sites:
1 Ir 0.125 0.125 0.125 (multiplicity 16)
2 Ru 0.250 0.250 0.750 (multiplicity 4)
3 Pt 0.000 0.000 0.500 (multiplicity 4)

=====

Q | Entry from the Alexandria database: a relaxed structure of Ir4RuPt (GGA-PBE).

## Properties
Mass density ... 19.6 g cm⁻³
Spin magnetization ... 0.0 μB per formula unit
DOS(E_F) ... 1.069 states/eV per atom

Cell: 5.159 5.173 7.095 Å, 89.34 72.79 88.90°
Space group P-1 (No. 2)
Unique sites:
1 Ir 0.056 0.052 0.173 (multiplicity 2)
2 Ir 0.161 0.548 0.215 (multiplicity 2)
3 Ir 0.297 0.683 0.544 (multiplicity 2)
4 Ir 0.432 0.813 0.872 (multiplicity 2)
5 Ru 0.191 0.180 0.490 (multiplicity 2)
6 Pt 0.322 0.312 0.830 (multiplicity 2)

=====

If we sort the structures by their calculated energies, the order from most to least stable is Q, P.

=====

P | Entry from the Alexandria database: a relaxed structure of Ir3PtS (GGA-PBE).

## Properties
Mass density ... 16.0 g cm⁻³
Spin magnetization ... 0.0 μB per formula unit
DOS(E_F) ... 1.692 states/eV per atom

Cell: 4.368 4.368 4.368 Å, 90.00 90.00 90.00°
Space group Pm-3m (No. 221)
Unique sites:
1 Ir 0.000 0.000 0.500 (multiplicity 3)
2 Pt 0.500 0.500 0.500 (multiplicity 1)
3 S 0.000 0.000 0.000 (multiplicity 1)

=====

Q | Entry from the Alexandria database: a relaxed structure of Ir3PtS (GGA-PBE).

## Properties
Mass density ... 11.9 g cm⁻³
Spin magnetization ... 4.4 μB per formula unit
DOS(E_F) ... 1.879 states/eV per atom

Cell: 4.823 4.823 4.823 Å, 90.00 90.00 90.00°
Space group Pm-3m (No. 221)
Unique sites:
1 Ir 0.000 0.000 0.500 (multiplicity 3)
2 Pt 0.000 0.000 0.000 (multiplicity 1)
3 S 0.500 0.500 0.500 (multiplicity 1)

=====

If we sort the structures by their calculated energies, the order from most to least stable is P, Q.

=====

P | Entry from the Alexandria database: a relaxed structure of SbIrPt (GGA-PBE).

## Properties
Mass density ... 12.4 g cm⁻³
Spin magnetization ... 0.0 μB per formula unit
DOS(E_F) ... 1.046 states/eV per atom

Cell: 3.9204 3.9204 10.2114 Å, 90.00 90.00 120.00°
Space group P-3m1 (No. 164)
Unique sites:
1 Sb 0.3333 0.6667 0.3429 (multiplicity 2)
2 Ir 0.3333 0.6667 0.7910 (multiplicity 2)
3 Pt 0.3333 0.6667 0.0685 (multiplicity 2)

=====

Q | Entry from the Alexandria database: a relaxed structure of SbIrPt (GGA-PBE).

## Properties
Mass density ... 15.4 g cm⁻³
Spin magnetization ... 0.0 μB per formula unit
DOS(E_F) ... 0.460 states/eV per atom

Cell: 4.2323 4.2323 3.5394 Å, 90.00 90.00 120.00°
Space group P3m1 (No. 156)
Unique sites:
1 Sb 0.0000 0.0000 0.0000 (multiplicity 1)
2 Ir 0.6667 0.3333 0.2311 (multiplicity 1)
3 Pt 0.3333 0.6667 0.6806 (multiplicity 1)

=====

R | Entry from the Alexandria database: a relaxed structure of SbIrPt (GGA-PBE).

## Properties
Mass density ... 16.2 g cm⁻³
Spin magnetization ... 0.0 μB per formula unit
DOS(E_F) ... 0.897 states/eV per atom

Cell: 3.028 3.682 9.360 Å, 90.00 90.00 90.00°
Space group Imm2 (No. 44)
Unique sites:
1 Sb 0.000 0.000 0.000 (multiplicity 2)
2 Ir 0.000 0.000 0.648 (multiplicity 2)
3 Pt 0.000 0.000 0.327 (multiplicity 2)

=====

S | Entry from the Alexandria database: a relaxed structure of SbIrPt (GGA-PBE).

## Properties
Mass density ... 15.6 g cm⁻³
Spin magnetization ... 0.0 μB per formula unit
DOS(E_F) ... 1.041 states/eV per atom

Cell: 3.2123 3.2123 6.0494 Å, 90.00 90.00 120.00°
Space group P3m1 (No. 156)
Unique sites:
1 Sb 0.0000 0.0000 0.0000 (multiplicity 1)
2 Ir 0.6667 0.3333 0.3205 (multiplicity 1)
3 Pt 0.3333 0.6667 0.6676 (multiplicity 1)

=====

If we sort the structures by their calculated energies, the order from most to least stable is Q, R, P, S.

=====

P | Entry from the Alexandria database: a relaxed structure of Sc4IrPt (GGA-PBE).

## Properties
Mass density ... 8.6 g cm⁻³
Spin magnetization ... 0.0 μB per formula unit
DOS(E_F) ... 1.051 states/eV per atom

Cell: 7.607 7.607 7.607 Å, 90.00 90.00 90.00°
Space group F-43m (No. 216)
Unique sites:
1 Sc 0.125 0.125 0.125 (multiplicity 16)
2 Ir 0.250 0.250 0.750 (multiplicity 4)
3 Pt 0.000 0.000 0.500 (multiplicity 4)

=====

Q | Entry from the Alexandria database: a relaxed structure of Sc4IrPt (GGA-PBE).

## Properties
Mass density ... 7.6 g cm⁻³
Spin magnetization ... 0.0 μB per formula unit
DOS(E_F) ... 1.208 states/eV per atom

Cell: 7.670 4.348 14.820 Å, 90.00 90.00 90.00°
Space group Pnma (No. 62)
Unique sites:
1 Sc 0.011 0.250 0.080 (multiplicity 4)
2 Sc 0.082 0.250 0.771 (multiplicity 4)
3 Sc 0.136 0.250 0.340 (multiplicity 4)
4 Sc 0.145 0.250 0.562 (multiplicity 4)
5 Ir 0.200 0.750 0.679 (multiplicity 4)
6 Pt 0.242 0.250 0.943 (multiplicity 4)

=====

R | Entry from the Alexandria database: a relaxed structure of Sc4IrPt (GGA-PBE).

## Properties
Mass density ... 7.1 g cm⁻³
Spin magnetization ... 0.0 μB per formula unit
DOS(E_F) ... 1.215 states/eV per atom

Cell: 4.534 4.534 6.430 Å, 90.00 90.00 90.00°
Space group P4/mmm (No. 123)
Unique sites:
1 Sc 0.000 0.500 0.245 (multiplicity 4)
2 Ir 0.000 0.000 0.000 (multiplicity 1)
3 Pt 0.500 0.500 0.500 (multiplicity 1)

=====

If we sort the structures by their calculated energies, the order from most to least stable is Q, R, P.